Here is an optimized crystal structure of MgWO5 from Alexandria via LeMat-Bulk. Energies are from PBE with a Hubbard U.

Cell: 5.3573 5.5505 7.0797 Å, 95.23 101.78 94.47°
Space group P-1 (No. 2)
Unique sites:
Mg  0.1854  0.1494  0.1874 (multiplicity 2)
W  0.3071  0.2892  0.7285 (multiplicity 2)
O  0.0612  0.5621  0.7782 (multiplicity 2)
O  0.1176  0.1330  0.8853 (multiplicity 2)
O  0.1642  0.2317  0.4710 (multiplicity 2)
O  0.4305  0.8966  0.2488 (multiplicity 2)
O  0.4981  0.4095  0.1994 (multiplicity 2)

Calculated volume: 14.6 A^3/atom
Electronic total energy: -6.419 eV/atom